# TeMoN2F

A geometry-optimized TeMoN2F structure (PBE with a Hubbard U, the Alexandria database).

As for the calculated total energy: -5.456 eV/atom. The value obtained for the theoretical density is 6.29 Mg/m³.

The structure in extended XYZ format:
```
5
Lattice="4.152 0.000 0.000 0.000 4.152 0.000 0.000 0.000 4.144" Properties=species:S:1:pos:R:3 pbc="T T T"
Te 0.000 0.000 0.000
Mo 2.076 2.076 2.072
N 0.000 2.076 2.072
N 2.076 0.000 2.072
F 2.076 2.076 0.000
```